DFT (PBE) results for an optimized crystal structure of ReTcIr2.

a b c (Å): 2.743 2.743 7.838
angles (deg): 90.00 90.00 90.00
Space group P4mm (No. 99)
Unique sites:
1 Re 0.000 0.000 0.000 (multiplicity 1)
2 Tc 0.500 0.500 0.268 (multiplicity 1)
3 Ir 0.000 0.000 0.497 (multiplicity 1)
4 Ir 0.500 0.500 0.769 (multiplicity 1)

- size of the total moment (Bohr magnetons per cell) = 0.0
- DFT formation energy (kJ/mol of atoms) = -10.47
- N(E_F) (states/eV/cell) = 3.4